Below is GaPb2Au after structural relaxation, with properties calculated at the PBE level.

The structure in CIF format:
```
data_GaPb2Au
_chemical_formula_sum 'Ga1 Pb2 Au1'
_cell_length_a 3.5792
_cell_length_b 5.2792
_cell_length_c 5.2792
_cell_angle_alpha 90.00
_cell_angle_beta 90.00
_cell_angle_gamma 90.00
_space_group_name_H-M_alt 'P 1'
_space_group_IT_number 1
_space_group_name_Hall 'P 1'
loop_
_atom_site_label
_atom_site_type_symbol
_atom_site_fract_x
_atom_site_fract_y
_atom_site_fract_z
Ga1 Ga 0.5000 0.5000 0.5000
Pb1 Pb 0.0000 0.5000 0.0000
Pb2 Pb 0.0000 0.0000 0.5000
Au1 Au 0.5000 0.0000 0.0000
```

V: 24.94 A^3/atom
D(E_F): 0.95 states/eV/cell
Formation energy: 0.0261 eV per atom
Crystal system: tetragonal
Calculated total energy: -13.617 eV/cell